The following is a GGA+U calculation of a relaxed structure of Rb3GdV2O8, from Alexandria.

a = 6.123 Å, b = 6.123 Å, c = 8.025 Å
α = 90.00°, β = 90.00°, γ = 120.00°
Element x y z (fractional)
Rb 0.000 0.000 0.000
Rb 0.333 0.667 0.703
Rb 0.667 0.333 0.297
Gd 0.000 0.000 0.500
V 0.333 0.667 0.256
V 0.667 0.333 0.744
O 0.176 0.352 0.330
O 0.176 0.824 0.330
O 0.333 0.667 0.047
O 0.352 0.176 0.670
O 0.648 0.824 0.330
O 0.667 0.333 0.953
O 0.824 0.176 0.670
O 0.824 0.648 0.670

Properties
The symmetry is P-3m1 (164). The calculation puts the total energy at -103.804 eV for the cell shown. As for the total magnetization: 0.50 μB/atom. Its crystal system is trigonal.